A plane-wave DFT calculation with PBE was carried out for a geometry-optimized YReIr2 structure.

Lattice parameters (Å, degrees): 4.8405 4.8405 2.9053 90.00 90.00 90.00
Space group P4/mmm (No. 123)
Inequivalent atoms, fractional coordinates:
Y: 0.0000 0.0000 0.0000 x1
Re: 0.5000 0.5000 0.0000 x1
Ir: 0.0000 0.5000 0.5000 x2

Properties
N(E_F): 3.484 states/eV per cell
magnetic moment: 0.000 μB/f.u.
calculated formation energy: -5 kJ per mole of atoms
crystal system: tetragonal
energy above the lowest structure with this stoichiometry: 0.79 eV per formula unit